--- one ---
Entry from Alexandria via LeMat-Bulk: a geometry-optimized VIr4Os structure (PBE).

a = 3.8521 Å, b = 3.8492 Å, c = 6.0839 Å
α = 90.00°, β = 108.46°, γ = 90.00°
Fractional coordinates of all 6 atoms:
V  0.0000  0.0000  0.0000
Ir  0.1625  0.5000  0.3249
Ir  0.6619  0.0000  0.3238
Ir  0.8375  0.5000  0.6751
Os  0.5000  0.5000  0.0000
Ir  0.3381  0.0000  0.6762

Computed properties:
As for the crystal system: orthorhombic.

---

--- two ---
Entry from Alexandria via LeMat-Bulk: a geometry-optimized VIr4Os structure (PBE).

a = 5.9141 Å, b = 5.8043 Å, c = 5.8044 Å
α = 90.00°, β = 90.00°, γ = 90.00°
Fractional coordinates of all 12 atoms:
Ir  0.7587  0.5000  0.0000
Ir  0.2406  0.5000  0.5000
Os  0.5000  0.2500  0.2509
Ir  0.2406  0.0000  0.5000
Os  0.5000  0.7500  0.7491
V  0.0000  0.2500  0.7508
Ir  0.2414  0.0000  0.0000
Ir  0.7594  0.0000  0.5000
Ir  0.7594  0.5000  0.5000
Ir  0.7587  0.0000  0.0000
Ir  0.2414  0.5000  0.0000
V  0.0000  0.7500  0.2492

Computed properties:
As for the crystal system: orthorhombic.

---

The least stable of them is two.

---

--- one ---
Entry from Alexandria via LeMat-Bulk: a geometry-optimized VIr3Os structure (PBE).

a = 4.7162 Å, b = 4.7162 Å, c = 4.7162 Å
α = 90.00°, β = 90.00°, γ = 90.00°
Last column: magnetic moment on the atom in μB.
Fractional coordinates of all 5 atoms:
Os  0.0000  0.0000  0.0000  0.05
Ir  0.0000  0.0000  0.5000  -0.08
Ir  0.0000  0.5000  0.0000  -0.08
V  0.5000  0.5000  0.5000  2.65
Ir  0.5000  0.0000  0.0000  -0.08

Computed properties:
As for the crystal system: cubic.

---

--- two ---
Entry from Alexandria via LeMat-Bulk: a geometry-optimized VIr3Os structure (PBE).

a = 4.3666 Å, b = 4.7491 Å, c = 7.3563 Å
α = 87.04°, β = 107.27°, γ = 90.00°
Fractional coordinates of all 10 atoms:
Ir  0.3508  0.1499  0.7017
V  0.4332  0.6519  0.8665
Os  0.1528  0.1840  0.3055
Os  0.8472  0.8160  0.6945
Ir  0.0469  0.7307  0.0938
V  0.5668  0.3481  0.1335
Ir  0.6492  0.8501  0.2983
Ir  0.2442  0.6681  0.4883
Ir  0.7558  0.3319  0.5117
Ir  0.9531  0.2693  0.9062

Computed properties:
As for the crystal system: monoclinic.

---

The least stable of them is one.

---

--- one ---
Entry from Alexandria via LeMat-Bulk: a geometry-optimized Ir3OsW structure (PBE).

a = 4.6595 Å, b = 4.6595 Å, c = 4.6595 Å
α = 90.00°, β = 90.00°, γ = 90.00°
Fractional coordinates of all 5 atoms:
Ir  0.0000  0.5000  0.0000
Ir  0.0000  0.0000  0.5000
Ir  0.5000  0.0000  0.0000
W  0.5000  0.5000  0.5000
Os  0.0000  0.0000  0.0000

Computed properties:
As for the crystal system: cubic.

---

--- two ---
Entry from Alexandria via LeMat-Bulk: a geometry-optimized Ir3OsW structure (PBE).

a = 4.6852 Å, b = 4.6852 Å, c = 4.6852 Å
α = 90.00°, β = 90.00°, γ = 90.00°
Last column: magnetic moment on the atom in μB.
Fractional coordinates of all 5 atoms:
W  0.0000  0.0000  0.0000  0.01
Ir  0.0000  0.5000  0.0000  0.11
Ir  0.5000  0.0000  0.0000  0.29
Ir  0.0000  0.0000  0.5000  0.04
Os  0.5000  0.5000  0.5000  2.10

Computed properties:
As for the crystal system: cubic.

---

The least stable of them is one.

---

--- one ---
Entry from Alexandria via LeMat-Bulk: a geometry-optimized Ir4OsW structure (PBE).

a = 5.0893 Å, b = 5.0893 Å, c = 5.0893 Å
α = 60.00°, β = 60.00°, γ = 60.00°
Fractional coordinates of all 6 atoms:
Os  0.7500  0.7500  0.7500
Ir  0.3754  0.3754  0.3754
Ir  0.8739  0.3754  0.3754
Ir  0.3754  0.3754  0.8739
Ir  0.3754  0.8739  0.3754
W  0.0000  0.0000  0.0000

Computed properties:
As for the crystal system: cubic.

---

--- two ---
Entry from Alexandria via LeMat-Bulk: a geometry-optimized Ir4OsW structure (PBE).

a = 4.1080 Å, b = 4.3810 Å, c = 6.8872 Å
α = 82.89°, β = 72.65°, γ = 62.04°
Fractional coordinates of all 6 atoms:
Ir  0.3774  0.3609  0.8843
Os  0.0000  0.0000  0.0000
Ir  0.1192  0.1395  0.6221
Ir  0.8808  0.8605  0.3779
W  0.5000  0.5000  0.5000
Ir  0.6226  0.6391  0.1157

Computed properties:
As for the crystal system: monoclinic.

---

--- three ---
Entry from Alexandria via LeMat-Bulk: a geometry-optimized Ir4OsW structure (PBE).

a = 4.5075 Å, b = 5.4838 Å, c = 7.9055 Å
α = 69.73°, β = 90.00°, γ = 90.00°
Fractional coordinates of all 12 atoms:
Ir  0.2500  0.3946  0.2107
Ir  0.2500  0.2088  0.5784
Os  0.2500  0.8050  0.8907
Os  0.7500  0.1950  0.1093
Ir  0.7500  0.7912  0.4216
Ir  0.2500  0.7122  0.5787
Ir  0.7500  0.1054  0.7891
W  0.7500  0.6970  0.1059
Ir  0.7500  0.6054  0.7893
W  0.2500  0.3030  0.8941
Ir  0.7500  0.2878  0.4213
Ir  0.2500  0.8946  0.2109

Computed properties:
As for the crystal system: orthorhombic.

---

The least stable of them is one.

---

--- one ---
Entry from Alexandria via LeMat-Bulk: a geometry-optimized Ir2OsW structure (PBE).

a = 3.3188 Å, b = 3.3188 Å, c = 5.5291 Å
α = 90.00°, β = 90.00°, γ = 90.00°
Fractional coordinates of all 4 atoms:
W  0.5000  0.5000  0.7555
Ir  0.0000  0.0000  0.0065
Ir  0.5000  0.5000  0.2468
Os  0.0000  0.0000  0.4911

Computed properties:
As for the crystal system: tetragonal.

---

--- two ---
Entry from Alexandria via LeMat-Bulk: a geometry-optimized Ir2OsW structure (PBE).

a = 6.1301 Å, b = 4.7858 Å, c = 2.7542 Å
α = 90.05°, β = 63.21°, γ = 120.71°
Fractional coordinates of all 4 atoms:
Os  0.0000  0.5000  0.5000
W  0.5000  0.5000  0.0000
Ir  0.5000  0.0000  0.5000
Ir  0.0000  0.0000  0.0000

Computed properties:
As for the crystal system: orthorhombic.

---

--- three ---
Entry from Alexandria via LeMat-Bulk: a geometry-optimized Ir2OsW structure (PBE).

a = 4.4038 Å, b = 2.7695 Å, c = 4.8380 Å
α = 90.00°, β = 90.00°, γ = 90.00°
Fractional coordinates of all 4 atoms:
Ir  0.5000  0.1248  0.2974
Ir  0.0000  0.1252  0.9626
Os  0.0000  0.6249  0.4549
W  0.5000  0.6251  0.7851

Computed properties:
As for the crystal system: orthorhombic.

---

--- four ---
Entry from Alexandria via LeMat-Bulk: a geometry-optimized Ir2OsW structure (PBE).

a = 4.7485 Å, b = 4.7485 Å, c = 4.7485 Å
α = 131.27°, β = 131.27°, γ = 71.39°
Fractional coordinates of all 4 atoms:
Ir  0.7500  0.2500  0.5000
Ir  0.0000  0.0000  0.0000
W  0.2500  0.7500  0.5000
Os  0.5000  0.5000  0.0000

Computed properties:
As for the crystal system: tetragonal.

---

The least stable of them is one.

---

--- one ---
Entry from Alexandria via LeMat-Bulk: a geometry-optimized Ir2OsW structure (PBE).

a = 4.7921 Å, b = 4.7921 Å, c = 4.7589 Å
α = 80.31°, β = 80.31°, γ = 33.47°
Fractional coordinates of all 4 atoms:
W  0.7500  0.7500  0.7500
Ir  0.9992  0.9992  0.0039
Os  0.2500  0.2500  0.2500
Ir  0.5008  0.5008  0.4961

Computed properties:
As for the crystal system: monoclinic.

---

--- two ---
Entry from Alexandria via LeMat-Bulk: a geometry-optimized Ir2OsW structure (PBE).

a = 2.7427 Å, b = 2.7427 Å, c = 7.8766 Å
α = 90.00°, β = 90.00°, γ = 89.99°
Fractional coordinates of all 4 atoms:
Ir  0.0000  0.0000  0.4958
Os  0.5000  0.5000  0.2500
Ir  0.0000  0.0000  0.0042
W  0.5000  0.5000  0.7500

Computed properties:
As for the crystal system: tetragonal.

---

The least stable of them is one.